A relaxed Ce4Tc7Ge6 crystal. Source: Alexandria, functional PBE.

Cell lengths 7.350, 7.350, 7.350 Å; angles 109.47, 109.47, 109.47 degrees
Atoms (fractional coordinates):
Tc (0.250, 0.750, 0.500)
Tc (0.000, 0.000, 0.000)
Tc (0.500, 0.250, 0.750)
Tc (0.500, 0.750, 0.250)
Tc (0.750, 0.250, 0.500)
Tc (0.250, 0.500, 0.750)
Tc (0.750, 0.500, 0.250)
Ge (0.000, 0.687, 0.687)
Ge (0.000, 0.313, 0.313)
Ge (0.687, 0.000, 0.687)
Ge (0.313, 0.000, 0.313)
Ge (0.313, 0.313, 0.000)
Ge (0.687, 0.687, 0.000)
Ce (0.000, 0.500, 0.000)
Ce (0.000, 0.000, 0.500)
Ce (0.500, 0.000, 0.000)
Ce (0.500, 0.500, 0.500)

Size of the total moment ... 0.00 μB per formula unit
Energy ... -7.754 eV per atom
Volume ... 17.98 Å³ per atom
Theoretical density ... 9.1 g/cm³